CaHg4Bi: optimized geometry, PBE-GGA.

## Properties
- magnetization (μB per formula unit) = 0.0
- E_tot (eV per atom) = -1.296
- energy of formation (eV/atom) = -0.114

Cell and atoms, written as CIF:
```
data_CaHg4Bi
_chemical_formula_sum 'Ca1 Hg4 Bi1'
_space_group_name_H-M_alt 'P 4/m m m'
_space_group_IT_number 123
_space_group_name_Hall '-P 4 2'
_cell_length_a 4.4376
_cell_length_b 4.4376
_cell_length_c 9.4011
_cell_angle_alpha 90.00
_cell_angle_beta 90.00
_cell_angle_gamma 90.00
loop_
_atom_site_label
_atom_site_fract_x
_atom_site_fract_y
_atom_site_fract_z
Ca1 0.0000 0.0000 0.0000
Hg1 0.0000 0.5000 0.2494
Bi1 0.5000 0.5000 0.5000
```



Pm7Y3Er: optimized geometry, PBE-GGA.

## Properties
- magnetization (μB per formula unit) = 0.0
- E_tot (eV per atom) = -4.964
- energy of formation (eV/atom) = 0.236

Cell and atoms, written as CIF:
```
data_Pm7Y3Er
_chemical_formula_sum 'Pm14 Y6 Er2'
_space_group_name_H-M_alt 'C 1 2/m 1'
_space_group_IT_number 12
_cell_length_a 12.8284
_cell_length_b 11.3242
_cell_length_c 5.8943
_cell_angle_alpha 90.00
_cell_angle_beta 117.28
_cell_angle_gamma 90.00
loop_
_space_group_symop_operation_xyz
'x,y,z'
'-x,-y,-z'
'-x,y,-z'
'x,-y,z'
'x+1/2,y+1/2,z'
'-x+1/2,-y+1/2,-z'
'-x+1/2,y+1/2,-z'
'x+1/2,-y+1/2,z'
loop_
_atom_site_label
_atom_site_fract_x
_atom_site_fract_y
_atom_site_fract_z
Pm1 0.0000 0.0000 0.0000
Pm2 0.1934 0.2897 0.6932
Pm3 0.2116 0.5000 0.2100
Y1 0.0000 0.2955 0.0000
Y2 0.0000 0.5000 0.5000
Er1 0.0000 0.0000 0.5000
```